VASP calculation (GGA-PBE) on a relaxed P2H19IrC7Cl2O crystal.

Unit cell a=6.468 b=13.169 c=10.102 alpha=90.00 beta=122.04 gamma=90.00
Fractional positions:
H (0.254, 0.192, 0.159)
P (0.026, 0.649, 0.100)
O (0.533, 0.645, 0.645)
H (0.731, 0.723, 0.149)
H (0.738, 0.986, 0.236)
H (0.356, 0.423, 0.837)
P (0.026, 0.351, 0.600)
P (0.963, 0.126, 0.217)
C (0.866, 0.530, 0.033)
H (0.399, 0.121, 0.335)
C (0.927, 0.705, 0.221)
H (0.921, 0.479, 0.134)
H (0.738, 0.014, 0.736)
C (0.341, 0.613, 0.235)
Ir (0.973, 0.756, 0.896)
H (0.669, 0.544, 0.969)
P (0.963, 0.874, 0.717)
C (0.341, 0.387, 0.735)
H (0.744, 0.905, 0.437)
H (0.744, 0.095, 0.937)
C (0.866, 0.470, 0.533)
Cl (0.310, 0.142, 0.594)
H (0.399, 0.879, 0.835)
Cl (0.263, 0.356, 0.369)
H (0.931, 0.945, 0.168)
H (0.803, 0.829, 0.924)
H (0.545, 0.139, 0.998)
H (0.356, 0.577, 0.337)
H (0.242, 0.945, 0.651)
H (0.061, 0.026, 0.870)
H (0.921, 0.521, 0.634)
H (0.254, 0.808, 0.659)
C (0.242, 0.123, 0.214)
H (0.242, 0.055, 0.151)
H (0.741, 0.226, 0.981)
O (0.533, 0.355, 0.146)
C (0.726, 0.148, 0.014)
H (0.545, 0.861, 0.498)
C (0.918, 0.995, 0.251)
H (0.029, 0.775, 0.273)
H (0.669, 0.456, 0.469)
H (0.456, 0.681, 0.269)
H (0.915, 0.506, 0.456)
H (0.397, 0.440, 0.676)
C (0.704, 0.687, 0.745)
Cl (0.263, 0.644, 0.869)
H (0.961, 0.652, 0.315)
H (0.961, 0.348, 0.815)
H (0.456, 0.319, 0.769)
C (0.242, 0.877, 0.714)
H (0.731, 0.277, 0.649)
C (0.726, 0.852, 0.514)
C (0.704, 0.313, 0.245)
H (0.061, 0.974, 0.370)
Cl (0.310, 0.858, 0.094)
H (0.029, 0.225, 0.773)
H (0.915, 0.494, 0.956)
H (0.741, 0.774, 0.481)
C (0.927, 0.295, 0.721)
Ir (0.973, 0.244, 0.396)
H (0.397, 0.560, 0.176)
C (0.918, 0.005, 0.751)
H (0.931, 0.055, 0.668)
H (0.803, 0.171, 0.424)

Properties
* total DFT energy (no corrections): -335.94 eV for the cell shown